Below is a geometry-optimized ScH2Au structure, with properties calculated at the PBE level.

Cell lengths 4.2723, 4.2723, 6.0582 Å; angles 69.35, 69.35, 90.00 degrees
Fractional positions:
1 Sc 0.5000 0.5000 0.0000
2 Sc 0.2500 0.7500 0.5000
3 H 0.6237 0.1250 0.2500
4 H 0.1263 0.6250 0.2500
5 H 0.3750 0.3763 0.7500
6 H 0.8750 0.8737 0.7500
7 Au 0.0000 0.0000 0.0000
8 Au 0.7500 0.2500 0.5000

DOS(E_F) (states/eV/atom): 0.7209
E above lowest polymorph (meV per atom): 0
V (Å³/cell): 96